# 1
Material: Dy3In4Co2
Method: DFT, PBE-GGA
State: optimized geometry

Summary:
- polymorph energy (0 for the lowest one) (meV/atom) = 147
- E_tot (eV per atom) = -4.562
- magnetic moment (μB/f.u.) = 0.804

The structure in CIF format:
```
data_Dy3In4Co2
_chemical_formula_sum 'Dy3 In4 Co2'
_symmetry_space_group_name_H-M 'P 1'
_symmetry_Int_Tables_number 1
_symmetry_space_group_name_Hall 'P 1'
_cell_length_a 8.135
_cell_length_b 8.135
_cell_length_c 3.515
_cell_angle_alpha 90.00
_cell_angle_beta 90.00
_cell_angle_gamma 120.00
loop_
_atom_site_label
_atom_site_fract_x
_atom_site_fract_y
_atom_site_fract_z
Dy1 0.081 0.407 0.000
Dy2 0.326 0.919 0.000
Dy3 0.593 0.674 0.000
In1 0.000 0.000 0.000
In2 0.380 0.296 0.500
In3 0.704 0.084 0.500
In4 0.916 0.620 0.500
Co1 0.333 0.667 0.500
Co2 0.667 0.333 0.000
```

# 2
Material: Ce12Ga3H5
Method: DFT, PBE-GGA
State: optimized geometry

Summary:
- E_tot (eV per atom) = -5.005
- magnetic moment (μB/f.u.) = 13.280

The structure in CIF format:
```
data_Ce12Ga3H5
_chemical_formula_sum 'Ce48 Ga12 H20'
_symmetry_space_group_name_H-M 'P 1'
_symmetry_Int_Tables_number 1
_symmetry_space_group_name_Hall 'P 1'
_cell_length_a 13.338
_cell_length_b 13.338
_cell_length_c 13.338
_cell_angle_alpha 109.47
_cell_angle_beta 109.47
_cell_angle_gamma 109.47
loop_
_atom_site_label
_atom_site_fract_x
_atom_site_fract_y
_atom_site_fract_z
Ce1 0.021 0.210 0.109
Ce2 0.021 0.312 0.913
Ce3 0.087 0.609 0.399
Ce4 0.087 0.979 0.688
Ce5 0.101 0.710 0.688
Ce6 0.101 0.891 0.413
Ce7 0.109 0.021 0.210
Ce8 0.109 0.587 0.899
Ce9 0.188 0.210 0.601
Ce10 0.188 0.479 0.587
Ce11 0.210 0.109 0.021
Ce12 0.210 0.601 0.188
Ce13 0.290 0.312 0.899
Ce14 0.290 0.479 0.391
Ce15 0.312 0.899 0.290
Ce16 0.312 0.913 0.021
Ce17 0.391 0.290 0.479
Ce18 0.391 0.601 0.913
Ce19 0.399 0.087 0.609
Ce20 0.399 0.812 0.790
Ce21 0.413 0.101 0.891
Ce22 0.413 0.812 0.521
Ce23 0.479 0.391 0.290
Ce24 0.479 0.587 0.188
Ce25 0.521 0.413 0.812
Ce26 0.521 0.609 0.710
Ce27 0.587 0.188 0.479
Ce28 0.587 0.899 0.109
Ce29 0.601 0.188 0.210
Ce30 0.601 0.913 0.391
Ce31 0.609 0.399 0.087
Ce32 0.609 0.710 0.521
Ce33 0.688 0.087 0.979
Ce34 0.688 0.101 0.710
Ce35 0.710 0.521 0.609
Ce36 0.710 0.688 0.101
Ce37 0.790 0.399 0.812
Ce38 0.790 0.891 0.979
Ce39 0.812 0.521 0.413
Ce40 0.812 0.790 0.399
Ce41 0.891 0.413 0.101
Ce42 0.891 0.979 0.790
Ce43 0.899 0.109 0.587
Ce44 0.899 0.290 0.312
Ce45 0.913 0.021 0.312
Ce46 0.913 0.391 0.601
Ce47 0.979 0.688 0.087
Ce48 0.979 0.790 0.891
Ga1 0.125 0.250 0.375
Ga2 0.125 0.375 0.750
Ga3 0.250 0.375 0.125
Ga4 0.250 0.875 0.625
Ga5 0.375 0.125 0.250
Ga6 0.375 0.750 0.125
Ga7 0.625 0.250 0.875
Ga8 0.625 0.875 0.750
Ga9 0.750 0.125 0.375
Ga10 0.750 0.625 0.875
Ga11 0.875 0.625 0.250
Ga12 0.875 0.750 0.625
H1 0.000 0.000 0.000
H2 0.000 0.000 0.500
H3 0.000 0.500 0.000
H4 0.000 0.500 0.500
H5 0.125 0.750 0.875
H6 0.125 0.875 0.250
H7 0.250 0.125 0.875
H8 0.250 0.625 0.375
H9 0.375 0.250 0.625
H10 0.375 0.625 0.750
H11 0.500 0.000 0.000
H12 0.500 0.000 0.500
H13 0.500 0.500 0.000
H14 0.500 0.500 0.500
H15 0.625 0.375 0.250
H16 0.625 0.750 0.375
H17 0.750 0.375 0.625
H18 0.750 0.875 0.125
H19 0.875 0.125 0.750
H20 0.875 0.250 0.125
```

# 3
Material: In3SiTc
Method: DFT, PBE-GGA
State: optimized geometry

Summary:
- polymorph energy (0 for the lowest one) (meV/atom) = 0
- formation energy from raw total energies (meV per atom) = 798.9
- E_tot (eV per atom) = -4.002
- magnetic moment (μB/f.u.) = 1.344

The structure in CIF format:
```
data_In3SiTc
_chemical_formula_sum 'In3 Si1 Tc1'
_symmetry_space_group_name_H-M 'P 1'
_symmetry_Int_Tables_number 1
_symmetry_space_group_name_Hall 'P 1'
_cell_length_a 5.183
_cell_length_b 5.183
_cell_length_c 5.183
_cell_angle_alpha 90.00
_cell_angle_beta 90.00
_cell_angle_gamma 90.00
loop_
_atom_site_label
_atom_site_fract_x
_atom_site_fract_y
_atom_site_fract_z
In1 0.000 0.000 0.500
In2 0.000 0.500 0.000
In3 0.500 0.000 0.000
Si1 0.500 0.500 0.500
Tc1 0.000 0.000 0.000
```

# 4
Material: Hf2VHgPt
Method: DFT, PBE-GGA
State: optimized geometry

Summary:
- E_tot (eV per atom) = -6.628
- magnetic moment (μB/f.u.) = 0.000

The structure in CIF format:
```
data_Hf2VHgPt
_chemical_formula_sum 'Hf2 V1 Hg1 Pt1'
_symmetry_space_group_name_H-M 'P 1'
_symmetry_Int_Tables_number 1
_symmetry_space_group_name_Hall 'P 1'
_cell_length_a 5.066
_cell_length_b 5.066
_cell_length_c 4.648
_cell_angle_alpha 90.00
_cell_angle_beta 90.00
_cell_angle_gamma 90.00
loop_
_atom_site_label
_atom_site_fract_x
_atom_site_fract_y
_atom_site_fract_z
Hf1 0.000 0.500 0.000
Hf2 0.500 0.000 0.000
V1 0.000 0.000 0.500
Hg1 0.500 0.500 0.500
Pt1 0.000 0.000 0.000
```

# 5
Material: Mn3AlPt6
Method: DFT, PBE-GGA
State: optimized geometry

Summary:
- E_tot (eV per atom) = -7.241
- magnetic moment (μB/f.u.) = 13.213

The structure in CIF format:
```
data_Mn3AlPt6
_chemical_formula_sum 'Mn6 Al2 Pt12'
_symmetry_space_group_name_H-M 'P 1'
_symmetry_Int_Tables_number 1
_symmetry_space_group_name_Hall 'P 1'
_cell_length_a 7.381
_cell_length_b 4.538
_cell_length_c 9.710
_cell_angle_alpha 90.00
_cell_angle_beta 111.71
_cell_angle_gamma 90.00
loop_
_atom_site_label
_atom_site_fract_x
_atom_site_fract_y
_atom_site_fract_z
Mn1 0.035 0.250 0.376
Mn2 0.123 0.750 0.213
Mn3 0.279 0.250 0.983
Mn4 0.721 0.750 0.017
Mn5 0.877 0.250 0.787
Mn6 0.965 0.750 0.624
Al1 0.456 0.250 0.583
Al2 0.544 0.750 0.417
Pt1 0.038 0.750 0.923
Pt2 0.165 0.250 0.672
Pt3 0.250 0.750 0.506
Pt4 0.345 0.750 0.824
Pt5 0.350 0.250 0.297
Pt6 0.429 0.750 0.136
Pt7 0.571 0.250 0.864
Pt8 0.650 0.750 0.703
Pt9 0.655 0.250 0.176
Pt10 0.750 0.250 0.494
Pt11 0.835 0.750 0.328
Pt12 0.962 0.250 0.077
```

# 6
Material: TbDy6Ho8
Method: DFT, PBE-GGA
State: optimized geometry

Summary:
- E_tot (eV per atom) = -4.462
- magnetic moment (μB/f.u.) = 0.000

The structure in CIF format:
```
data_TbDy6Ho8
_chemical_formula_sum 'Tb1 Dy6 Ho8'
_symmetry_space_group_name_H-M 'P 1'
_symmetry_Int_Tables_number 1
_symmetry_space_group_name_Hall 'P 1'
_cell_length_a 8.553
_cell_length_b 8.553
_cell_length_c 8.553
_cell_angle_alpha 63.23
_cell_angle_beta 63.23
_cell_angle_gamma 63.23
loop_
_atom_site_label
_atom_site_fract_x
_atom_site_fract_y
_atom_site_fract_z
Tb1 0.000 0.000 0.000
Dy1 0.108 0.540 0.229
Dy2 0.229 0.108 0.540
Dy3 0.460 0.771 0.892
Dy4 0.540 0.229 0.108
Dy5 0.771 0.892 0.460
Dy6 0.892 0.460 0.771
Ho1 0.110 0.721 0.744
Ho2 0.256 0.890 0.279
Ho3 0.279 0.256 0.890
Ho4 0.423 0.423 0.423
Ho5 0.577 0.577 0.577
Ho6 0.721 0.744 0.110
Ho7 0.744 0.110 0.721
Ho8 0.890 0.279 0.256
```

# 7
Material: LaMnCrC2
Method: DFT, PBE-GGA
State: optimized geometry

Summary:
- E_tot (eV per atom) = -8.581
- magnetic moment (μB/f.u.) = 0.819

The structure in CIF format:
```
data_LaMnCrC2
_chemical_formula_sum 'La1 Mn1 Cr1 C2'
_symmetry_space_group_name_H-M 'P 1'
_symmetry_Int_Tables_number 1
_symmetry_space_group_name_Hall 'P 1'
_cell_length_a 5.978
_cell_length_b 5.978
_cell_length_c 5.978
_cell_angle_alpha 146.40
_cell_angle_beta 146.40
_cell_angle_gamma 48.25
loop_
_atom_site_label
_atom_site_fract_x
_atom_site_fract_y
_atom_site_fract_z
La1 0.000 0.000 0.000
Mn1 0.250 0.750 0.500
Cr1 0.750 0.250 0.500
C1 0.342 0.342 0.000
C2 0.658 0.658 0.000
```

# 8
Material: SrNi2Mo
Method: DFT, PBE-GGA
State: optimized geometry

Summary:
- polymorph energy (0 for the lowest one) (meV/atom) = 369
- E_tot (eV per atom) = -5.485
- magnetic moment (μB/f.u.) = 0.224

The structure in CIF format:
```
data_SrNi2Mo
_chemical_formula_sum 'Sr1 Ni2 Mo1'
_symmetry_space_group_name_H-M 'P 1'
_symmetry_Int_Tables_number 1
_symmetry_space_group_name_Hall 'P 1'
_cell_length_a 4.878
_cell_length_b 4.878
_cell_length_c 2.790
_cell_angle_alpha 90.00
_cell_angle_beta 90.00
_cell_angle_gamma 90.00
loop_
_atom_site_label
_atom_site_fract_x
_atom_site_fract_y
_atom_site_fract_z
Sr1 0.000 0.000 0.000
Ni1 0.000 0.500 0.500
Ni2 0.500 0.000 0.500
Mo1 0.500 0.500 0.000
```

# 9
Material: AlReRu2
Method: DFT, PBE-GGA
State: optimized geometry

Summary:
- E_tot (eV per atom) = -8.533
- magnetic moment (μB/f.u.) = 0.002

The structure in CIF format:
```
data_AlReRu2
_chemical_formula_sum 'Al1 Re1 Ru2'
_symmetry_space_group_name_H-M 'P 1'
_symmetry_Int_Tables_number 1
_symmetry_space_group_name_Hall 'P 1'
_cell_length_a 2.720
_cell_length_b 2.720
_cell_length_c 8.693
_cell_angle_alpha 90.00
_cell_angle_beta 90.00
_cell_angle_gamma 115.64
loop_
_atom_site_label
_atom_site_fract_x
_atom_site_fract_y
_atom_site_fract_z
Al1 0.000 0.000 0.000
Re1 0.500 0.500 0.743
Ru1 0.000 0.000 0.494
Ru2 0.500 0.500 0.234
```

# 10
Material: NdTm2Br
Method: DFT, PBE-GGA
State: optimized geometry

Summary:
- formation energy from raw total energies (meV per atom) = -203.0
- E_tot (eV per atom) = -4.049
- magnetic moment (μB/f.u.) = 0.001

The structure in CIF format:
```
data_NdTm2Br
_chemical_formula_sum 'Nd1 Tm2 Br1'
_symmetry_space_group_name_H-M 'P 1'
_symmetry_Int_Tables_number 1
_symmetry_space_group_name_Hall 'P 1'
_cell_length_a 11.612
_cell_length_b 11.612
_cell_length_c 11.612
_cell_angle_alpha 17.22
_cell_angle_beta 17.22
_cell_angle_gamma 17.22
loop_
_atom_site_label
_atom_site_fract_x
_atom_site_fract_y
_atom_site_fract_z
Nd1 0.000 0.000 0.000
Tm1 0.098 0.098 0.098
Tm2 0.902 0.902 0.902
Br1 0.500 0.500 0.500
```